[1]
Computed, not measured: an optimized crystal structure of FeMoRu2 at the PBE level of DFT.

Output
- DOS(E_F) (states/eV/atom) = 1.11
- space group = Cm, No. 8
- energy of formation (eV/atom) = 0.13
- polymorph energy (0 for the lowest one) (meV per atom) = 89

Cell lengths 4.6743, 4.6743, 4.6504 Å; angles 80.55, 80.55, 33.81 degrees
Closest atoms and distances in Å follow each position.
Positions (direct):
Mo1 0.2487 0.2487 0.2539  7 Ru 2.68-2.76, 3 Fe 2.69-2.72, 2 Mo 2.72
Ru1 0.7491 0.7491 0.7504  5 Ru 2.65-2.72, 4 Mo 2.68-2.71, 3 Fe 2.68-2.69
Ru2 0.0048 0.0048 0.9892  4 Fe 2.63-2.75, 5 Ru 2.65-2.72, 3 Mo 2.68-2.76
Fe1 0.4974 0.4974 0.5066  7 Ru 2.63-2.75, 3 Mo 2.69-2.72, 2 Fe 2.72



[2]
Computed, not measured: an optimized crystal structure of SrNdTcO6 at the PBE level of DFT.

Output
- space group = P312, No. 149
- raw total energy (eV/atom) = -7.3866

Cell lengths 5.6955, 5.6956, 5.1724 Å; angles 90.00, 90.00, 60.00 degrees
Closest atoms and distances in Å follow each position.
Positions (direct):
Tc1 0.3333 0.3333 0.5000  6 O 1.91
Nd1 0.6666 0.6667 0.5000  6 O 2.34
O1 0.0560 0.6081 0.7097  1 Tc 1.91
O2 0.3358 0.6081 0.2902  1 Tc 1.91
O3 0.3358 0.0560 0.7098  1 Tc 1.91
O4 0.6081 0.3359 0.7098  1 Tc 1.91
O5 0.0560 0.3359 0.2902  1 Tc 1.91
O6 0.6081 0.0560 0.2902  1 Tc 1.91
Sr1 0.0000 0.0000 0.0000  6 O 2.57



[3]
Computed, not measured: an optimized crystal structure of Ti3Ga4Re at the PBE level of DFT.

Output
- DOS(E_F) (states/eV/atom) = 0.80
- space group = Pmmn, No. 59
- energy of formation (eV/atom) = -0.26

Cell lengths 4.7988, 5.5539, 9.6377 Å; angles 90.00, 90.00, 90.00 degrees
Closest atoms and distances in Å follow each position.
Positions (direct):
Ga1 0.5641 0.8758 0.7481  4 Ga 2.70-2.85, 5 Ti 2.70-2.86, 1 Re 2.83
Ga2 0.5646 0.1434 0.0000  4 Ti 2.67-2.88, 4 Ga 2.75-2.85, 2 Re 2.78
Ga3 0.0641 0.1242 0.2481  4 Ga 2.70-2.85, 5 Ti 2.70-2.86, 1 Re 2.83
Ga4 0.5648 0.1003 0.5000  4 Ga 2.70-2.76, 2 Re 2.77-2.79, 4 Ti 2.82-2.84
Ga5 0.5641 0.8758 0.2519  4 Ga 2.70-2.85, 5 Ti 2.70-2.86, 1 Re 2.83
Ga6 0.0646 0.8566 0.5000  4 Ti 2.67-2.88, 4 Ga 2.75-2.85, 2 Re 2.78
Ga7 0.0648 0.8997 0.0000  4 Ga 2.70-2.76, 2 Re 2.77-2.79, 4 Ti 2.82-2.84
Ga8 0.0641 0.1242 0.7519  4 Ga 2.70-2.85, 5 Ti 2.70-2.86, 1 Re 2.83
Ti1 0.5642 0.3898 0.2601  1 Re 2.60, 6 Ga 2.70-2.86, 3 Ti 2.70-2.83
Ti2 0.0647 0.3750 0.5000  6 Ga 2.67-2.88, 2 Re 2.71, 2 Ti 2.83
Ti3 0.5647 0.6250 0.0000  6 Ga 2.67-2.88, 2 Re 2.71, 2 Ti 2.83
Ti4 0.0642 0.6102 0.7601  1 Re 2.60, 6 Ga 2.70-2.86, 3 Ti 2.70-2.83
Ti5 0.5642 0.3898 0.7399  1 Re 2.60, 6 Ga 2.70-2.86, 3 Ti 2.70-2.83
Ti6 0.0642 0.6102 0.2399  1 Re 2.60, 6 Ga 2.70-2.86, 3 Ti 2.70-2.83
Re1 0.5646 0.6021 0.5000  4 Ti 2.60-2.71, 6 Ga 2.77-2.83
Re2 0.0646 0.3979 0.0000  4 Ti 2.60-2.71, 6 Ga 2.77-2.83



[4]
Computed, not measured: an optimized crystal structure of PHWCl2 at the PBE level of DFT.

Output
- DOS(E_F) (states/eV/atom) = 0.37
- space group = P4/mmm, No. 123
- polymorph energy (0 for the lowest one) (meV per atom) = 0

Cell lengths 4.8610, 4.8610, 4.6703 Å; angles 90.00, 90.00, 90.00 degrees
Closest atoms and distances in Å follow each position.
Positions (direct):
H1 0.5000 0.5000 0.5000  8 Cl 3.37, 4 P 3.44
Cl1 0.0000 0.5000 0.0000  2 W 2.43
Cl2 0.5000 0.0000 0.0000  2 W 2.43
P1 0.0000 0.0000 0.5000  2 W 2.34
W1 0.0000 0.0000 0.0000  2 P 2.34, 4 Cl 2.43



[5]
Computed, not measured: an optimized crystal structure of K4Tl3GeO8 at the PBE level of DFT.

Output
- DOS(E_F) (states/eV/atom) = 0.09
- space group = R-3m, No. 166
- raw total energy (eV/atom) = -4.6092

Cell lengths 6.8919, 7.3437, 6.8922 Å; angles 117.98, 120.00, 90.00 degrees
Closest atoms and distances in Å follow each position.
Positions (direct):
O1 0.2030 0.6818 0.4060  1 Ge 2.04
O2 0.2687 0.3060 0.5373  3 Tl 2.32
O3 0.2032 0.6819 0.9787  1 Ge 2.04
O4 0.7968 0.3181 0.0213  1 Ge 2.04
O5 0.7756 0.6819 0.9787  1 Ge 2.04
O6 0.2244 0.3181 0.0213  1 Ge 2.04
O7 0.7313 0.6940 0.4627  3 Tl 2.32
O8 0.7970 0.3182 0.5940  1 Ge 2.04
K1 0.5000 0.0000 0.5000  6 O 2.71-2.74
K2 0.0000 0.0000 0.5000  6 O 2.71-2.74
K3 0.5000 0.0000 0.0000  6 O 3.01
K4 0.0000 0.0000 0.0000  6 O 2.71-2.74
Tl1 0.5000 0.5000 0.5000  6 O 2.32-2.42
Tl2 0.0000 0.5000 0.5000  6 O 2.32-2.42
Tl3 0.5000 0.5000 0.0000  6 O 2.32-2.42
Ge1 0.0000 0.5000 0.0000  6 O 2.04



[6]
Computed, not measured: an optimized crystal structure of Er4I5N at the PBE level of DFT.

Output
- DOS(E_F) (states/eV/atom) = 0.35
- space group = C2/m, No. 12
- raw total energy (eV/atom) = -4.6485

Cell lengths 3.8919, 8.4636, 9.9724 Å; angles 101.92, 101.25, 90.00 degrees
Closest atoms and distances in Å follow each position.
Positions (direct):
I1 0.5000 0.5000 0.0000  4 Er 3.29
I2 0.8420 0.6652 0.6839  3 Er 3.01-3.09
I3 0.1599 0.8202 0.3199  3 Er 3.03-3.11
I4 0.1580 0.3348 0.3161  3 Er 3.01-3.09
I5 0.8401 0.1798 0.6801  3 Er 3.03-3.11
Er1 0.3808 0.9417 0.7615  1 N 2.28
Er2 0.9998 0.1865 0.9995  2 N 2.51
Er3 0.6192 0.0583 0.2385  1 N 2.28
Er4 0.0002 0.8135 0.0005  2 N 2.51
N1 0.5000 0.0000 0.0000  6 Er 2.28-2.51



[7]
Computed, not measured: an optimized crystal structure of Pm4Pr2Er7 at the PBE level of DFT.

Output
- DOS(E_F) (states/eV/atom) = 1.41
- space group = P-31m, No. 162
- energy of formation (eV/atom) = 0.17

Cell lengths 6.0956, 6.0956, 13.4903 Å; angles 90.00, 90.00, 120.00 degrees
Closest atoms and distances in Å follow each position.
Positions (direct):
Er1 0.3492 0.3492 0.7869  1 Pm 3.23, 5 Er 3.44-3.58, 2 Pr 3.49
Er2 0.0000 0.3492 0.2131  1 Pm 3.23, 5 Er 3.44-3.58, 2 Pr 3.49
Er3 0.6508 0.6508 0.2131  1 Pm 3.23, 5 Er 3.44-3.58, 2 Pr 3.49
Er4 0.0000 0.0000 0.0000  6 Pr 3.52, 6 Er 3.58
Er5 0.6508 0.0000 0.7869  1 Pm 3.23, 5 Er 3.44-3.58, 2 Pr 3.49
Er6 0.0000 0.6508 0.7869  1 Pm 3.23, 5 Er 3.44-3.58, 2 Pr 3.49
Er7 0.3492 0.0000 0.2131  1 Pm 3.23, 5 Er 3.44-3.58, 2 Pr 3.49
Pr1 0.3333 0.6667 0.0000  9 Er 3.49-3.52, 3 Pr 3.52
Pr2 0.6667 0.3333 0.0000  9 Er 3.49-3.52, 3 Pr 3.52
Pm1 0.0000 0.0000 0.6068  1 Pm 2.88
Pm2 0.0000 0.0000 0.3932  1 Pm 2.88
Pm3 0.6667 0.3333 0.5000  9 Pm 3.52-3.80
Pm4 0.3333 0.6667 0.5000  9 Pm 3.52-3.80



[8]
Computed, not measured: an optimized crystal structure of Np2Tl3AuSe6 at the PBE level of DFT.

Output
- DOS(E_F) (states/eV/atom) = 1.48
- space group = C2/m, No. 12
- raw total energy (eV/atom) = -5.4404

Cell lengths 7.3463, 7.3463, 8.0167 Å; angles 97.16, 97.16, 123.36 degrees
Closest atoms and distances in Å follow each position.
Positions (direct):
Se1 0.4463 0.0671 0.2224  2 Np 2.78-2.85
Se2 0.5537 0.9329 0.7776  2 Np 2.78-2.85
Se3 0.0671 0.4463 0.2224  2 Np 2.78-2.85
Se4 0.7417 0.7417 0.1780  1 Au 2.57, 2 Np 2.88
Se5 0.9329 0.5537 0.7776  2 Np 2.78-2.85
Se6 0.2583 0.2583 0.8220  1 Au 2.57, 2 Np 2.88
Tl1 0.8466 0.1534 0.5000  6 Se 3.16-3.38
Tl2 0.1534 0.8466 0.5000  6 Se 3.16-3.38
Tl3 0.5000 0.5000 0.5000  6 Se 3.43-3.44
Np1 0.3331 0.6669 0.0000  6 Se 2.78-2.88
Np2 0.6669 0.3331 0.0000  6 Se 2.78-2.88
Au1 0.0000 0.0000 0.0000  2 Se 2.57



[9]
Computed, not measured: an optimized crystal structure of CrCuMo4 at the PBE level of DFT.

Output
- DOS(E_F) (states/eV/atom) = 1.03
- space group = F-43m, No. 216
- energy of formation (eV/atom) = 0.59

Cell lengths 5.1640, 5.1640, 5.1640 Å; angles 60.00, 60.00, 60.00 degrees
Closest atoms and distances in Å follow each position.
Positions (direct):
Mo1 0.3741 0.3741 0.8777  6 Mo 2.56-2.60
Mo2 0.3741 0.3741 0.3741  6 Mo 2.56-2.60
Mo3 0.8777 0.3741 0.3741  6 Mo 2.56-2.60
Mo4 0.3741 0.8777 0.3741  6 Mo 2.56-2.60
Cr1 0.7500 0.7500 0.7500  12 Mo 3.03, 4 Cu 3.16
Cu1 0.0000 0.0000 0.0000  12 Mo 3.03, 4 Cr 3.16



[10]
Computed, not measured: an optimized crystal structure of RbMg2Zn2 at the PBE level of DFT.

Output
- DOS(E_F) (states/eV/atom) = 0.46
- space group = P4/mbm, No. 127
- energy of formation (eV/atom) = 0.11
- polymorph energy (0 for the lowest one) (meV per atom) = 15

Cell lengths 8.9798, 8.9798, 3.0498 Å; angles 90.00, 90.00, 90.00 degrees
Closest atoms and distances in Å follow each position.
Positions (direct):
Zn1 0.6584 0.8416 0.5000  6 Mg 2.99-3.13, 2 Zn 3.05
Zn2 0.8416 0.3416 0.5000  6 Mg 2.99-3.13, 2 Zn 3.05
Zn3 0.3416 0.1584 0.5000  6 Mg 2.99-3.13, 2 Zn 3.05
Zn4 0.1584 0.6584 0.5000  6 Mg 2.99-3.13, 2 Zn 3.05
Rb1 0.0000 0.0000 0.0000  2 Rb 3.05
Rb2 0.5000 0.5000 0.0000  2 Rb 3.05
Mg1 0.6264 0.1264 0.0000  6 Zn 2.99-3.13, 3 Mg 3.05-3.21
Mg2 0.8736 0.6264 0.0000  6 Zn 2.99-3.13, 3 Mg 3.05-3.21
Mg3 0.1264 0.3736 0.0000  6 Zn 2.99-3.13, 3 Mg 3.05-3.21
Mg4 0.3736 0.8736 0.0000  6 Zn 2.99-3.13, 3 Mg 3.05-3.21



[11]
Computed, not measured: an optimized crystal structure of Tl3VSb at the PBE level of DFT.

Output
- DOS(E_F) (states/eV/atom) = 1.59
- space group = Pm-3m, No. 221
- polymorph energy (0 for the lowest one) (meV per atom) = 0

Cell lengths 5.4263, 5.4263, 5.4263 Å; angles 90.00, 90.00, 90.00 degrees
Closest atoms and distances in Å follow each position.
Positions (direct):
Sb1 0.5000 0.5000 0.5000  12 Tl 3.84
Tl1 0.0000 0.0000 0.5000  2 V 2.71
Tl2 0.0000 0.5000 0.0000  2 V 2.71
Tl3 0.5000 0.0000 0.0000  2 V 2.71
V1 0.0000 0.0000 0.0000  6 Tl 2.71



Number 1: volume 13.92 A^3/atom, M_tot 1.886 μB per cell. Number 2: volume 16.14 A^3/atom, M_tot 0.000 μB per cell. Number 3: volume 16.05 A^3/atom, M_tot 0.001 μB per cell. Number 4: volume 22.07 A^3/atom, M_tot 1.245 μB per cell. Number 5: volume 15.87 A^3/atom, M_tot 0.000 μB per cell. Number 6: volume 31.49 A^3/atom, M_tot 0.000 μB per cell. Number 7: volume 33.39 A^3/atom, M_tot 0.000 μB per cell. Number 8: volume 29.06 A^3/atom, M_tot 5.999 μB per cell. Number 9: volume 16.23 A^3/atom, M_tot 1.573 μB per cell. Number 10: volume 24.59 A^3/atom, M_tot 0.000 μB per cell. Number 11: volume 31.96 A^3/atom, M_tot 3.568 μB per cell.